1.
A geometry-optimized K2MgZn structure. Source: Alexandria, functional PBE.

Cell: 5.1154 5.0320 6.9817 Å, 90.00 111.40 90.00°
Space group Pm (No. 6)
Inequivalent atoms, fractional coordinates:
K: 0.0000 0.0000 0.0000 [1 per cell]
K: 0.3033 0.5000 0.6067 [1 per cell]
Mg: 0.6966 0.0000 0.3961 [1 per cell]
Zn: 0.6062 0.5000 0.2076 [1 per cell]

VASP energy: -4.469 eV for the cell shown
formation energy from the elements: 0.59 eV per formula unit
theoretical density: 1.7 g/cm³
magnetic moment: 0.00 μB/cell



2.
A geometry-optimized In2AgRh structure. Source: Alexandria, functional PBE.

Cell: 4.3310 4.3310 15.6943 Å, 90.00 90.00 120.00°
Space group R3m (No. 160, hexagonal axes)
Inequivalent atoms, fractional coordinates:
In: 0.0000 0.0000 0.0000 [3 per cell]
In: 0.0000 0.0000 0.1982 [3 per cell]
Ag: 0.0000 0.0000 0.7751 [3 per cell]
Rh: 0.0000 0.0000 0.5918 [3 per cell]

VASP energy: -47.975 eV for the cell shown
formation energy from the elements: -0.31 eV per formula unit
theoretical density: 8.6 g/cm³
magnetic moment: 0.00 μB/cell



3.
A geometry-optimized LaZnMo structure. Source: Alexandria, functional PBE.

Cell: 3.5629 3.5629 10.2236 Å, 90.00 90.00 90.00°
Space group I4mm (No. 107)
Inequivalent atoms, fractional coordinates:
La: 0.0000 0.0000 0.0000 [2 per cell]
Zn: 0.0000 0.0000 0.7061 [2 per cell]
Mo: 0.0000 0.0000 0.2935 [2 per cell]

VASP energy: -32.235 eV for the cell shown
formation energy from the elements: 0.92 eV per formula unit
theoretical density: 7.7 g/cm³
magnetic moment: 0.00 μB/cell



4.
A geometry-optimized Rb2TlIn4Sn3 structure. Source: Alexandria, functional PBE.

Cell: 5.2312 5.2312 12.2083 Å, 90.00 90.00 90.00°
Space group P-4m2 (No. 115)
Inequivalent atoms, fractional coordinates:
Rb: 0.0000 0.5000 0.2469 [2 per cell]
Tl: 0.0000 0.0000 0.5000 [1 per cell]
In: 0.0000 0.0000 0.0000 [1 per cell]
In: 0.0000 0.5000 0.6329 [2 per cell]
In: 0.5000 0.5000 0.0000 [1 per cell]
Sn: 0.0000 0.5000 0.8726 [2 per cell]
Sn: 0.5000 0.5000 0.5000 [1 per cell]

VASP energy: -28.754 eV for the cell shown
formation energy from the elements: -1.49 eV per formula unit
theoretical density: 5.9 g/cm³
magnetic moment: 0.00 μB/cell



5.
A geometry-optimized Li3La3SnS8 structure. Source: Alexandria, functional PBE.

Cell: 8.2150 8.2150 18.3492 Å, 90.00 90.00 120.00°
Space group R-3m (No. 166, hexagonal axes)
Inequivalent atoms, fractional coordinates:
Li: 0.0000 0.5000 0.0000 [9 per cell]
La: 0.0000 0.5000 0.5000 [9 per cell]
Sn: 0.0000 0.0000 0.5000 [3 per cell]
S: 0.0000 0.0000 0.2510 [6 per cell]
S: 0.0326 0.5163 0.2492 [18 per cell]

VASP energy: -241.448 eV for the cell shown
energy relative to the elements, uncorrected: -1.529 eV per atom
theoretical density: 3.8 g/cm³
magnetic moment: 0.00 μB/cell



6.
A geometry-optimized Sr2CaAs structure. Source: Alexandria, functional PBE.

Cell: 8.2338 8.2338 8.2338 Å, 90.00 90.00 90.00°
Space group F-43m (No. 216)
Inequivalent atoms, fractional coordinates:
Sr: 0.0000 0.0000 0.0000 [4 per cell]
Sr: 0.2500 0.2500 0.2500 [4 per cell]
Ca: 0.0000 0.0000 0.5000 [4 per cell]
As: 0.2500 0.2500 0.7500 [4 per cell]

VASP energy: -41.858 eV for the cell shown
formation energy from the elements: -0.45 eV per formula unit
theoretical density: 3.5 g/cm³
magnetic moment: 0.00 μB/cell



7.
A geometry-optimized CaTe2P structure. Source: Alexandria, functional PBE.

Cell: 4.4886 3.8748 6.5526 Å, 90.00 104.63 90.00°
Space group P2/m (No. 10)
Inequivalent atoms, fractional coordinates:
Ca: 0.0000 0.0000 0.0000 [1 per cell]
Te: 0.3591 0.5000 0.7406 [2 per cell]
P: 0.0000 0.0000 0.5000 [1 per cell]

VASP energy: -15.468 eV for the cell shown
energy relative to the elements, uncorrected: -0.443 eV per atom
theoretical density: 4.9 g/cm³
magnetic moment: 0.00 μB/cell



8.
A geometry-optimized Sr2ReAs structure. Source: Alexandria, functional PBE.

Cell: 6.9950 9.0877 3.0597 Å, 90.00 90.00 90.00°
Space group Cmmm (No. 65)
Inequivalent atoms, fractional coordinates:
Sr: 0.2500 0.2500 0.0000 [4 per cell]
Re: 0.0000 0.0000 0.5000 [2 per cell]
As: 0.0000 0.5000 0.5000 [2 per cell]

VASP energy: -37.294 eV for the cell shown
formation energy from the elements: 1.81 eV per formula unit
theoretical density: 7.5 g/cm³
magnetic moment: 0.00 μB/cell